1.
The following is a PBE calculation of crystalline TlGe2Mo at its relaxed geometry, from the Alexandria database.

abc: 4.4260 4.4260 17.6990
angles: 90.00 90.00 90.00
Space group I-42d (No. 122)
One atom of each set of equivalent atoms:
1 Tl 0.0000 0.0000 0.0000
2 Ge 0.1643 0.2500 0.6250
3 Mo 0.0000 0.0000 0.5000

Results
Energy above the most stable polymorph in this dataset   0 meV per atom
DFT formation energy   2.5 eV per formula unit

---

2.
The following is a PBE calculation of crystalline KLiRhF6 at its relaxed geometry, from the Alexandria database.

abc: 5.3332 5.3332 5.8083
angles: 90.00 90.00 120.00
Space group P312 (No. 149)
One atom of each set of equivalent atoms:
1 K 0.0000 0.0000 0.0000
2 Li 0.6667 0.3333 0.5000
3 Rh 0.3333 0.6667 0.5000
4 F 0.0185 0.3750 0.6880

Results
ΔE_f (raw)   -1916 kJ/mol of formula units

---

3.
The following is a PBE calculation of crystalline P2AuSeS at its relaxed geometry, from the Alexandria database.

abc: 4.8147 4.8147 4.8289
angles: 90.00 90.00 90.00
Space group P4/mmm (No. 123)
One atom of each set of equivalent atoms:
1 P 0.0000 0.5000 0.0000
2 Au 0.0000 0.0000 0.0000
3 Se 0.5000 0.5000 0.5000
4 S 0.0000 0.0000 0.5000

Results
Energy above the most stable polymorph in this dataset   0 meV per atom
ΔE_f (raw)   550 kJ/mol of formula units

---

4.
The following is a PBE calculation of crystalline La2Tb6CeEr3 at its relaxed geometry, from the Alexandria database.

abc: 6.1931 10.7342 11.8531
angles: 90.00 100.06 90.00
Space group C2/m (No. 12)
One atom of each set of equivalent atoms:
1 La 0.0000 0.1664 0.0000
2 Tb 0.2455 0.5000 0.7451
3 Tb 0.2498 0.1652 0.7454
4 Ce 0.0000 0.5000 0.0000
5 Er 0.0000 0.0000 0.5000
6 Er 0.0000 0.3333 0.5000

Results
DFT formation energy   0.5 eV per formula unit

---

5.
The following is a PBE calculation of crystalline KNiP2S at its relaxed geometry, from the Alexandria database.

abc: 4.4029 4.4029 5.2112
angles: 90.00 90.00 90.00
Space group P4/mmm (No. 123)
One atom of each set of equivalent atoms:
1 K 0.0000 0.0000 0.0000
2 Ni 0.5000 0.5000 0.5000
3 P 0.0000 0.5000 0.5000
4 S 0.5000 0.5000 0.0000

Results
Energy above the most stable polymorph in this dataset   0 meV per atom
ΔE_f (raw)   71 kJ/mol of formula units

---

6.
The following is a PBE calculation of crystalline La2Al2Se at its relaxed geometry, from the Alexandria database.

abc: 3.8416 3.8416 17.8951
angles: 90.00 90.00 90.00
Space group I4/mmm (No. 139)
One atom of each set of equivalent atoms:
1 La 0.0000 0.0000 0.0989
2 Al 0.0000 0.5000 0.2500
3 Se 0.0000 0.0000 0.5000

Results
Energy above the most stable polymorph in this dataset   0 meV per atom
ΔE_f (raw)   -341 kJ/mol of formula units

---

7.
The following is a PBE calculation of crystalline TlGa2Ir2 at its relaxed geometry, from the Alexandria database.

abc: 3.8260 3.8260 12.1365
angles: 90.00 90.00 90.00
Space group I4/mmm (No. 139)
One atom of each set of equivalent atoms:
1 Tl 0.0000 0.0000 0.0000
2 Ga 0.0000 0.5000 0.2500
3 Ir 0.0000 0.0000 0.3888

Results
Energy above the most stable polymorph in this dataset   33 meV per atom
DFT formation energy   -0.6 eV per formula unit

---

8.
The following is a PBE calculation of crystalline Sn2Bi5Pb12 at its relaxed geometry, from the Alexandria database.

abc: 16.0080 10.9853 6.9708
angles: 90.00 95.82 90.00
Space group C2/m (No. 12)
One atom of each set of equivalent atoms:
1 Sn 0.0000 0.2499 0.0000
2 Bi 0.0000 0.0000 0.5000
3 Bi 0.1733 0.5000 0.8853
4 Bi 0.2125 0.0000 0.4938
5 Pb 0.0447 0.5000 0.2695
6 Pb 0.0989 0.2635 0.6140
7 Pb 0.1096 0.0000 0.9419
8 Pb 0.1965 0.2682 0.2021

Results
Energy above the most stable polymorph in this dataset   0 meV per atom
DFT formation energy   1.1 eV per formula unit

---

9.
The following is a PBE calculation of crystalline K3In at its relaxed geometry, from the Alexandria database.

abc: 4.0659 5.0336 11.0137
angles: 90.00 90.00 90.00
Space group Pmm2 (No. 25)
One atom of each set of equivalent atoms:
1 K 0.0000 0.0000 0.0000
2 K 0.0000 0.5000 0.3074
3 K 0.5000 0.5000 0.6918
4 In 0.5000 0.0000 0.4577

Results
Energy above the most stable polymorph in this dataset   117 meV per atom
DFT formation energy   0.4 eV per formula unit

---

10.
The following is a PBE calculation of crystalline Hf2Zr3Pa2 at its relaxed geometry, from the Alexandria database.

abc: 11.3409 3.7143 7.7642
angles: 90.00 99.50 90.00
Space group C2/m (No. 12)
One atom of each set of equivalent atoms:
1 Hf 0.2190 0.0000 0.1450
2 Zr 0.0000 0.5000 0.0000
3 Zr 0.1393 0.5000 0.4386
4 Pa 0.0701 0.0000 0.7224

Results
DFT formation energy   0.7 eV per formula unit

---

11.
The following is a PBE calculation of crystalline La6TcAu3 at its relaxed geometry, from the Alexandria database.

abc: 7.3535 8.0017 12.4707
angles: 90.00 120.57 90.00
Space group P2_1/c (No. 14)
One atom of each set of equivalent atoms:
1 La 0.0787 0.0539 0.2418
2 La 0.2281 0.6911 0.0789
3 La 0.3702 0.1715 0.0631
4 Tc 0.0000 0.0000 0.0000
5 Au 0.3228 0.1128 0.7697
6 Au 0.5000 0.0000 0.5000

Results
DFT formation energy   -4.6 eV per formula unit

---

12.
The following is a PBE calculation of crystalline Sr2FeAs at its relaxed geometry, from the Alexandria database.

abc: 7.3658 7.3658 7.3658
angles: 90.00 90.00 90.00
Space group F-43m (No. 216)
One atom of each set of equivalent atoms:
1 Sr 0.0000 0.0000 0.0000
2 Sr 0.2500 0.2500 0.2500
3 Fe 0.2500 0.2500 0.7500
4 As 0.0000 0.0000 0.5000

Results
DFT formation energy   1.2 eV per formula unit

---

Number 1: total magnetic moment 4.5 μB/cell. Number 2: total magnetic moment 1.0 μB/cell. Number 3: total magnetic moment 0.5 μB/cell. Number 4: total magnetic moment 2.1 μB/cell. Number 5: total magnetic moment 0.6 μB/cell. Number 6: total magnetic moment 1.5 μB/cell. Number 7: total magnetic moment 0.0 μB/cell. Number 8: total magnetic moment 0.0 μB/cell. Number 9: total magnetic moment 0.0 μB/cell. Number 10: total magnetic moment 0.0 μB/cell. Number 11: total magnetic moment 0.0 μB/cell. Number 12: total magnetic moment 8.8 μB/cell.